The following is a DFT calculation (PBE) of a relaxed structure of Tm2AlTl.

Lattice parameters (Å, degrees): 3.6190 5.2181 10.4169 90.00 90.00 90.00
With the nearest neighbours (Å) after each atom.
Fractional positions:
Tm: 0.0000 0.2500 0.1158  6 Al 3.07-3.18, 2 Tl 3.26
Tm: 0.0000 0.7500 0.8842  6 Al 3.07-3.18, 2 Tl 3.26
Tm: 0.0000 0.2500 0.6393  2 Al 3.08, 6 Tl 3.18-3.28
Tm: 0.0000 0.7500 0.3607  2 Al 3.08, 6 Tl 3.18-3.28
Al: 0.5000 0.2500 0.8782  8 Tm 3.07-3.18
Al: 0.5000 0.7500 0.1218  8 Tm 3.07-3.18
Tl: 0.5000 0.2500 0.3767  8 Tm 3.18-3.28
Tl: 0.5000 0.7500 0.6233  8 Tm 3.18-3.28

## Properties
Formation energy from the elements, eV/atom: -0.322